Below is a relaxed structure of Ti3BPd, with properties calculated at the GGA-PBEsol level.

Calculated density, Mg/m³: 5.850
DFT formation energy, eV per atom: -0.238

Cell: 4.1990 4.1990 4.1990 Å, 90.00 90.00 90.00°
Last column: nearest neighbours and their distance in Å.
Fractional coordinates of all 5 atoms:
B  0.0000  0.0000  0.0000  6 Ti 2.10
Ti  0.0000  0.0000  0.5000  2 B 2.10
Ti  0.5000  0.0000  0.0000  2 B 2.10
Ti  0.0000  0.5000  0.0000  2 B 2.10
Pd  0.5000  0.5000  0.5000  12 Ti 2.97